Below is a geometry-optimized Rb3TmMo2O8 structure, with properties calculated at the PBE with a Hubbard U level.

Cell lengths 6.176, 6.176, 8.026 Å; angles 90.00, 90.00, 120.00 degrees
Site moments in Bohr magnetons follow the coordinates.
Positions (direct):
Mo (0.333, 0.667, 0.245)  1.01
Mo (0.667, 0.333, 0.755)  1.01
O (0.340, 0.170, 0.663)  -0.02
O (0.660, 0.830, 0.337)  -0.02
O (0.333, 0.667, 0.021)  -0.04
O (0.170, 0.830, 0.337)  -0.02
O (0.170, 0.340, 0.337)  -0.02
O (0.830, 0.170, 0.663)  -0.02
O (0.830, 0.660, 0.663)  -0.02
O (0.667, 0.333, 0.979)  -0.04
Tm (0.000, 0.000, 0.500)  0.09
Rb (0.667, 0.333, 0.319)  0.00
Rb (0.000, 0.000, 0.000)  0.00
Rb (0.333, 0.667, 0.681)  0.00

Output
- E (eV/atom) = -6.3829
- total magnetic moment (μB/f.u.) = 2.0